A relaxed structure of SrPrIrO6, computed with GGA-PBE.

Results
N(E_F): 10.07 states/eV per cell
Formation energy without anion corrections: -177 kJ/mol of atoms
Theoretical density: 5.923 g/cm3

Cell and atoms, written as POSCAR:
```
SrPrIrO6
1.0
5.790 0.000 0.000
-2.895 5.014 0.000
0.000 0.000 9.979
O Ir Pr Sr
12 2 2 2
Direct
0.058 0.665 0.859
0.942 0.607 0.359
0.665 0.607 0.141
0.393 0.335 0.359
0.607 0.665 0.641
0.393 0.058 0.141
0.665 0.058 0.359
0.335 0.942 0.641
0.058 0.393 0.641
0.335 0.393 0.859
0.607 0.942 0.859
0.942 0.335 0.141
0.333 0.667 0.750
0.667 0.333 0.250
0.333 0.667 0.250
0.667 0.333 0.750
0.000 0.000 0.500
0.000 0.000 0.000
```